Density functional theory data (PBE+U) for crystalline Cr5In3O12 at its relaxed geometry.

- Energy: -547.8 eV for the cell shown

abc: 10.875 10.875 10.875
angles: 109.47 109.47 109.47
Fractional positions:
Cr1 0.000 0.000 0.000
Cr2 0.000 0.000 0.500
Cr3 0.000 0.500 0.000
Cr4 0.000 0.500 0.500
Cr5 0.125 0.750 0.875
Cr6 0.125 0.875 0.250
Cr7 0.250 0.125 0.875
Cr8 0.250 0.625 0.375
Cr9 0.375 0.250 0.625
Cr10 0.375 0.625 0.750
Cr11 0.500 0.000 0.000
Cr12 0.500 0.000 0.500
Cr13 0.500 0.500 0.000
Cr14 0.500 0.500 0.500
Cr15 0.625 0.375 0.250
Cr16 0.625 0.750 0.375
Cr17 0.750 0.375 0.625
Cr18 0.750 0.875 0.125
Cr19 0.875 0.125 0.750
Cr20 0.875 0.250 0.125
In1 0.125 0.250 0.375
In2 0.125 0.375 0.750
In3 0.250 0.375 0.125
In4 0.250 0.875 0.625
In5 0.375 0.125 0.250
In6 0.375 0.750 0.125
In7 0.625 0.250 0.875
In8 0.625 0.875 0.750
In9 0.750 0.125 0.375
In10 0.750 0.625 0.875
In11 0.875 0.625 0.250
In12 0.875 0.750 0.625
O1 0.027 0.197 0.138
O2 0.027 0.329 0.889
O3 0.059 0.697 0.671
O4 0.059 0.862 0.389
O5 0.111 0.638 0.441
O6 0.111 0.973 0.671
O7 0.138 0.027 0.197
O8 0.138 0.611 0.941
O9 0.171 0.197 0.559
O10 0.171 0.473 0.611
O11 0.197 0.138 0.027
O12 0.197 0.559 0.171
O13 0.303 0.329 0.941
O14 0.303 0.473 0.362
O15 0.329 0.889 0.027
O16 0.329 0.941 0.303
O17 0.362 0.303 0.473
O18 0.362 0.559 0.889
O19 0.389 0.059 0.862
O20 0.389 0.829 0.527
O21 0.441 0.111 0.638
O22 0.441 0.829 0.803
O23 0.473 0.362 0.303
O24 0.473 0.611 0.171
O25 0.527 0.389 0.829
O26 0.527 0.638 0.697
O27 0.559 0.171 0.197
O28 0.559 0.889 0.362
O29 0.611 0.171 0.473
O30 0.611 0.941 0.138
O31 0.638 0.441 0.111
O32 0.638 0.697 0.527
O33 0.671 0.059 0.697
O34 0.671 0.111 0.973
O35 0.697 0.527 0.638
O36 0.697 0.671 0.059
O37 0.803 0.441 0.829
O38 0.803 0.862 0.973
O39 0.829 0.527 0.389
O40 0.829 0.803 0.441
O41 0.862 0.389 0.059
O42 0.862 0.973 0.803
O43 0.889 0.027 0.329
O44 0.889 0.362 0.559
O45 0.941 0.138 0.611
O46 0.941 0.303 0.329
O47 0.973 0.671 0.111
O48 0.973 0.803 0.862